DFT (PBE-GGA) results for crystalline TmNpU2S4 at its relaxed geometry.

Results
Formation energy without anion corrections   -11.982 eV/f.u.

Cell lengths 6.661, 3.801, 6.811 Å; angles 90.00, 108.55, 90.00 degrees
Space group P2/m (No. 10)
Inequivalent atoms, fractional coordinates:
Tm 0.000 0.000 0.000 x1
Np 0.000 0.500 0.500 x1
U 0.500 0.000 0.500 x1
U 0.500 0.500 0.000 x1
S 0.245 0.500 0.244 x2
S 0.248 0.000 0.753 x2

DFT (PBE-GGA) results for crystalline TmNp2US4 at its relaxed geometry.

Results
Formation energy without anion corrections   -12.127 eV/f.u.

Cell lengths 6.650, 3.858, 6.788 Å; angles 90.00, 109.19, 90.00 degrees
Space group P2/m (No. 10)
Inequivalent atoms, fractional coordinates:
Tm 0.000 0.000 0.000 x1
Np 0.500 0.000 0.500 x1
Np 0.500 0.500 0.000 x1
U 0.000 0.500 0.500 x1
S 0.247 0.500 0.247 x2
S 0.250 0.000 0.753 x2

DFT (PBE-GGA) results for crystalline TmZrNp2S4 at its relaxed geometry.

Results
Formation energy without anion corrections   -12.402 eV/f.u.

Cell lengths 6.550, 3.859, 6.686 Å; angles 90.00, 109.85, 90.00 degrees
Space group P2/m (No. 10)
Inequivalent atoms, fractional coordinates:
Tm 0.000 0.000 0.000 x1
Zr 0.000 0.500 0.500 x1
Np 0.500 0.000 0.500 x1
Np 0.500 0.500 0.000 x1
S 0.243 0.000 0.745 x2
S 0.244 0.500 0.251 x2

DFT (PBE-GGA) results for crystalline NpU2S5 at its relaxed geometry.

Results
Formation energy without anion corrections   -11.500 eV/f.u.

Cell lengths 11.596, 7.804, 7.319 Å; angles 90.00, 90.00, 90.00 degrees
Space group Pnma (No. 62)
Inequivalent atoms, fractional coordinates:
Np 0.007 0.250 0.079 x4
U 0.181 0.002 0.515 x8
S 0.000 0.250 0.465 x4
S 0.101 0.548 0.166 x8
S 0.186 0.250 0.826 x4
S 0.217 0.750 0.793 x4

DFT (PBE-GGA) results for crystalline Np5US6 at its relaxed geometry.

Results
Formation energy without anion corrections   -16.278 eV/f.u.

Cell lengths 6.682, 11.638, 6.785 Å; angles 90.00, 109.28, 90.00 degrees
Space group C2/m (No. 12)
Inequivalent atoms, fractional coordinates:
Np 0.000 0.000 0.000 x2
Np 0.000 0.166 0.500 x4
Np 0.000 0.333 0.000 x4
U 0.000 0.500 0.500 x2
S 0.249 0.000 0.749 x4
S 0.249 0.334 0.747 x8

DFT (PBE-GGA) results for crystalline NpUS2 at its relaxed geometry.

Results
Formation energy without anion corrections   -4.194 eV/f.u.
Excess energy over the best structure of this formula in the dataset   0.322 eV per atom

Cell lengths 4.802, 4.802, 3.402 Å; angles 90.00, 90.00, 90.00 degrees
Space group P4/mmm (No. 123)
Inequivalent atoms, fractional coordinates:
Np 0.000 0.000 0.000 x1
U 0.500 0.500 0.000 x1
S 0.000 0.500 0.500 x2

DFT (PBE-GGA) results for crystalline NpUS at its relaxed geometry.

Results
Formation energy without anion corrections   -1.298 eV/f.u.
Excess energy over the best structure of this formula in the dataset   0.000 eV per atom

Cell lengths 3.439, 3.439, 9.034 Å; angles 90.00, 90.00, 90.00 degrees
Space group I4mm (No. 107)
Inequivalent atoms, fractional coordinates:
Np 0.000 0.000 0.000 x2
U 0.000 0.000 0.387 x2
S 0.000 0.000 0.693 x2

DFT (PBE-GGA) results for crystalline NpU2S6 at its relaxed geometry.

Results
Formation energy without anion corrections   -11.290 eV/f.u.
Excess energy over the best structure of this formula in the dataset   0.046 eV per atom

Cell lengths 13.479, 5.054, 8.782 Å; angles 90.00, 126.99, 90.00 degrees
Space group C2/m (No. 12)
Inequivalent atoms, fractional coordinates:
Np 0.000 0.000 0.000 x2
U 0.182 0.000 0.608 x4
S 0.039 0.000 0.723 x4
S 0.126 0.500 0.050 x4
S 0.250 0.000 0.368 x4

DFT (PBE-GGA) results for crystalline Np3U2S8 at its relaxed geometry.

Results
Formation energy without anion corrections   -16.310 eV/f.u.
Excess energy over the best structure of this formula in the dataset   0.044 eV per atom

Cell lengths 9.281, 13.184, 4.730 Å; angles 90.00, 90.00, 90.00 degrees
Space group Cmmm (No. 65)
Inequivalent atoms, fractional coordinates:
Np 0.000 0.000 0.000 x2
Np 0.223 0.500 0.500 x4
U 0.000 0.262 0.000 x4
S 0.000 0.119 0.500 x4
S 0.000 0.368 0.500 x4
S 0.244 0.122 0.000 x8

DFT (PBE-GGA) results for crystalline Np5U2S12 at its relaxed geometry.

Results
Formation energy without anion corrections   -24.770 eV/f.u.

Cell lengths 15.349, 7.221, 8.856 Å; angles 90.00, 107.12, 90.00 degrees
Space group C2/m (No. 12)
Inequivalent atoms, fractional coordinates:
Np 0.000 0.000 0.000 x2
Np 0.187 0.500 0.327 x4
Np 0.201 0.500 0.860 x4
U 0.000 0.265 0.500 x4
S 0.003 0.500 0.737 x4
S 0.010 0.000 0.305 x4
S 0.152 0.249 0.065 x8
S 0.178 0.270 0.594 x8

DFT (PBE-GGA) results for crystalline NpU2S3 at its relaxed geometry.

Results
Formation energy without anion corrections   -8.211 eV/f.u.

Cell lengths 3.866, 3.866, 16.421 Å; angles 90.00, 90.00, 90.00 degrees
Space group I4/mmm (No. 139)
Inequivalent atoms, fractional coordinates:
Np 0.000 0.000 0.000 x2
U 0.000 0.000 0.333 x4
S 0.000 0.000 0.166 x4
S 0.000 0.000 0.500 x2

DFT (PBE-GGA) results for crystalline Np3US8 at its relaxed geometry.

Results
Formation energy without anion corrections   -14.594 eV/f.u.

Cell lengths 7.202, 12.343, 7.893 Å; angles 90.00, 90.00, 90.00 degrees
Space group C222 (No. 21)
Inequivalent atoms, fractional coordinates:
Np 0.000 0.000 0.000 x2
Np 0.250 0.250 0.751 x4
U 0.000 0.000 0.500 x2
S 0.000 0.213 0.500 x4
S 0.000 0.218 0.000 x4
S 0.244 0.029 0.744 x8

DFT (PBE-GGA) results for crystalline Np3U2S8 at its relaxed geometry.

Results
Formation energy without anion corrections   -16.878 eV/f.u.
Excess energy over the best structure of this formula in the dataset   0.000 eV per atom

Cell lengths 13.876, 7.844, 6.605 Å; angles 90.00, 109.57, 90.00 degrees
Space group C2/m (No. 12)
Inequivalent atoms, fractional coordinates:
Np 0.000 0.000 0.000 x2
Np 0.000 0.258 0.500 x4
U 0.240 0.500 0.161 x4
S 0.115 0.500 0.400 x4
S 0.119 0.000 0.429 x4
S 0.126 0.234 0.915 x8

DFT (PBE-GGA) results for crystalline NpU2S3 at its relaxed geometry.

Results
Formation energy without anion corrections   -8.214 eV/f.u.

Cell lengths 3.846, 5.469, 11.673 Å; angles 90.00, 90.00, 90.00 degrees
Space group Immm (No. 71)
Inequivalent atoms, fractional coordinates:
Np 0.000 0.000 0.000 x2
U 0.000 0.000 0.333 x4
S 0.000 0.500 0.000 x2
S 0.000 0.500 0.334 x4

DFT (PBE-GGA) results for crystalline Np3US6 at its relaxed geometry.

Results
Formation energy without anion corrections   -13.592 eV/f.u.

Cell lengths 10.874, 3.901, 11.243 Å; angles 90.00, 106.89, 90.00 degrees
Space group P2_1/m (No. 11)
Inequivalent atoms, fractional coordinates:
Np 0.076 0.250 0.166 x2
Np 0.184 0.750 0.503 x2
Np 0.344 0.250 0.921 x2
U 0.453 0.250 0.309 x2
S 0.017 0.250 0.383 x2
S 0.096 0.250 0.931 x2
S 0.250 0.750 0.277 x2
S 0.310 0.750 0.752 x2
S 0.387 0.250 0.540 x2
S 0.416 0.750 0.102 x2

DFT (PBE-GGA) results for crystalline NpU4S8 at its relaxed geometry.

Results
Formation energy without anion corrections   -16.620 eV/f.u.

Cell lengths 11.378, 11.378, 11.378 Å; angles 90.00, 90.00, 90.00 degrees
Space group F-43m (No. 216)
Inequivalent atoms, fractional coordinates:
Np 0.000 0.000 0.000 x4
U 0.122 0.122 0.378 x16
S 0.114 0.114 0.614 x16
S 0.136 0.136 0.136 x16

DFT (PBE-GGA) results for crystalline NpUS2 at its relaxed geometry.

Results
Formation energy without anion corrections   -5.484 eV/f.u.
Excess energy over the best structure of this formula in the dataset   0.000 eV per atom

Cell lengths 3.8512, 3.8512, 19.2487 Å; angles 90.00, 90.00, 120.00 degrees
Space group R-3m (No. 166, hexagonal axes)
Inequivalent atoms, fractional coordinates:
Np 0.0000 0.0000 0.0000 x3
U 0.0000 0.0000 0.5000 x3
S 0.0000 0.0000 0.2509 x6

DFT (PBE-GGA) results for crystalline NpU3S6 at its relaxed geometry.

Results
Formation energy without anion corrections   -13.868 eV/f.u.

Cell lengths 10.831, 3.902, 11.259 Å; angles 90.00, 107.11, 90.00 degrees
Space group P2_1/m (No. 11)
Inequivalent atoms, fractional coordinates:
Np 0.048 0.250 0.190 x2
U 0.156 0.250 0.579 x2
U 0.314 0.750 0.000 x2
U 0.427 0.250 0.333 x2
S 0.085 0.750 0.399 x2
S 0.117 0.250 0.959 x2
S 0.193 0.750 0.749 x2
S 0.254 0.750 0.223 x2
S 0.401 0.250 0.566 x2
S 0.486 0.250 0.117 x2

DFT (PBE-GGA) results for crystalline Np2US3 at its relaxed geometry.

Results
Formation energy without anion corrections   -8.126 eV/f.u.

Cell lengths 7.802, 10.977, 23.181 Å; angles 90.00, 90.00, 90.00 degrees
Space group Fddd (No. 70, origin choice 2)
Inequivalent atoms, fractional coordinates:
Np 0.125 0.125 0.042 x16
Np 0.125 0.125 0.376 x16
U 0.125 0.125 0.542 x16
S 0.123 0.374 0.208 x32
S 0.123 0.375 0.375 x16

DFT (PBE-GGA) results for crystalline Np3U4S8 at its relaxed geometry.

Results
Formation energy without anion corrections   -20.161 eV/f.u.

Cell lengths 10.911, 10.922, 7.724 Å; angles 90.00, 134.73, 90.00 degrees
Space group C2/m (No. 12)
Inequivalent atoms, fractional coordinates:
Np 0.000 0.000 0.000 x2
Np 0.250 0.250 0.000 x4
U 0.000 0.500 0.000 x2
U 0.000 0.500 0.500 x2
U 0.250 0.250 0.500 x4
S 0.000 0.245 0.500 x4
S 0.000 0.250 0.000 x4
S 0.246 0.000 0.502 x4
S 0.246 0.000 0.992 x4

no.,mass density (g/cm³)
1,10.26
2,10.19
3,9.01
4,8.76
5,10.77
6,11.41
7,15.76
8,6.29
9,8.28
10,7.24
11,10.95
12,5.71
13,7.08
14,10.95
15,8.31
16,6.52
17,10.86
18,8.35
19,10.82
20,9.75